(1)
A plane-wave DFT calculation with PBEsol was carried out for an optimized crystal structure of FeRh.

Lattice parameters (Å, degrees): 4.468 4.486 4.515 119.79 99.31 71.00
Site moments in Bohr magnetons follow the coordinates.
Fractional positions:
Fe 0.000 0.998 0.996  2.24
Fe 0.500 0.167 0.333  2.52
Fe 0.500 0.503 0.006  2.42
Rh 0.000 0.331 0.663  0.04
Rh 0.000 0.663 0.325  -0.03
Rh 0.500 0.839 0.677  0.23

As for the total energy: -8.490 eV per atom. As for the formation energy: 0.1 eV per formula unit.

---

(2)
A plane-wave DFT calculation with PBEsol was carried out for an optimized crystal structure of FeRh3.

Lattice parameters (Å, degrees): 2.657 2.657 8.415 90.00 90.00 120.00
Site moments in Bohr magnetons follow the coordinates.
Fractional positions:
Rh 0.000 0.000 0.500  -0.29
Rh 0.667 0.333 0.761  -0.02
Rh 0.667 0.333 0.239  -0.02
Fe 0.000 0.000 0.000  2.20

As for the total energy: -8.318 eV per atom. As for the formation energy: 0.1 eV per formula unit.

---

(3)
A plane-wave DFT calculation with PBEsol was carried out for an optimized crystal structure of Fe4Rh.

Lattice parameters (Å, degrees): 4.707 4.707 4.707 109.47 109.47 109.47
Site moments in Bohr magnetons follow the coordinates.
Fractional positions:
Fe 0.500 0.000 0.000  2.86
Fe 0.500 0.500 0.500  2.86
Fe 0.000 0.500 0.000  2.86
Fe 0.000 0.000 0.500  2.86
Rh 0.000 0.000 0.000  0.65

For the relative energy among the computed polymorphs, the calculation gives 1088.0 meV per atom. As for the total energy: -7.678 eV per atom. As for the formation energy: 5.6 eV per formula unit.

---

(4)
A plane-wave DFT calculation with PBEsol was carried out for an optimized crystal structure of Fe4Rh.

Lattice parameters (Å, degrees): 3.392 3.392 5.571 107.72 107.72 90.00
Site moments in Bohr magnetons follow the coordinates.
Fractional positions:
Fe 0.750 0.250 0.500  1.31
Fe 0.601 0.601 0.202  -0.84
Fe 0.399 0.399 0.798  -0.84
Fe 0.250 0.750 0.500  1.31
Rh 0.000 0.000 0.000  -0.09

For the relative energy among the computed polymorphs, the calculation gives 426.9 meV per atom. As for the total energy: -8.339 eV per atom. As for the formation energy: 2.3 eV per formula unit.

---

(5)
A plane-wave DFT calculation with PBEsol was carried out for an optimized crystal structure of FeRh3.

Lattice parameters (Å, degrees): 2.655 4.564 4.564 100.28 106.91 90.00
Site moments in Bohr magnetons follow the coordinates.
Fractional positions:
Rh 0.747 0.246 0.495  0.11
Rh 0.500 0.500 0.000  0.07
Rh 0.253 0.754 0.505  0.11
Fe 0.000 0.000 0.000  2.71

As for the total energy: -8.334 eV per atom. As for the formation energy: 0.0 eV per formula unit.

---

(6)
A plane-wave DFT calculation with PBEsol was carried out for an optimized crystal structure of FeRh2.

Lattice parameters (Å, degrees): 2.651 4.520 6.417 91.39 90.00 90.00
Site moments in Bohr magnetons follow the coordinates.
Fractional positions:
Fe 0.000 0.328 0.166  2.62
Fe 0.000 0.672 0.834  2.62
Rh 0.500 0.500 0.500  0.16
Rh 0.500 0.825 0.161  0.17
Rh 0.000 0.000 0.500  0.10
Rh 0.500 0.175 0.839  0.17

As for the total energy: -8.392 eV per atom. As for the formation energy: 0.1 eV per formula unit.